Entry 1:
# Mo2P2N (PBE, optimized geometry)
# ΔE_f (raw) = 264 kJ/mol of formula units
# DOS at the Fermi energy = 5.52 states/eV per cell
# offset from the most stable computed form = 0.437 eV/atom
data_Mo2P2N
_space_group_name_H-M_alt 'I 4/m m m'
_space_group_IT_number 139
_space_group_name_Hall '-I 4 2'
_cell_length_a 3.2307
_cell_length_b 3.2307
_cell_length_c 12.5680
_cell_angle_alpha 90.00
_cell_angle_beta 90.00
_cell_angle_gamma 90.00
loop_
_atom_site_label
_atom_site_fract_x
_atom_site_fract_y
_atom_site_fract_z
Mo1 0.0000 0.0000 0.1084
P1 0.0000 0.5000 0.2500
N1 0.0000 0.0000 0.5000

***

Entry 2:
# TaTlCu4 (PBE, optimized geometry)
# ΔH_f (0 K) = 0.33 eV/atom
# DOS at the Fermi energy = 20.60 states/eV per cell
data_TaTlCu4
_space_group_name_H-M_alt 'F -4 3 m'
_space_group_IT_number 216
_space_group_name_Hall 'F -4 2 3'
_cell_length_a 7.0711
_cell_length_b 7.0711
_cell_length_c 7.0711
_cell_angle_alpha 90.00
_cell_angle_beta 90.00
_cell_angle_gamma 90.00
loop_
_atom_site_label
_atom_site_fract_x
_atom_site_fract_y
_atom_site_fract_z
Ta1 0.0000 0.0000 0.0000
Tl1 0.2500 0.2500 0.7500
Cu1 0.1261 0.1261 0.3739

***

Entry 3:
# CsSr2Hg2 (PBE, optimized geometry)
# ΔH_f (0 K) = -0.18 eV/atom
# DOS at the Fermi energy = 12.71 states/eV per cell
# offset from the most stable computed form = 0.101 eV/atom
data_CsSr2Hg2
_space_group_name_H-M_alt 'I 4/m m m'
_space_group_IT_number 139
_space_group_name_Hall '-I 4 2'
_cell_length_a 6.2118
_cell_length_b 6.2118
_cell_length_c 12.9629
_cell_angle_alpha 90.00
_cell_angle_beta 90.00
_cell_angle_gamma 90.00
loop_
_atom_site_label
_atom_site_fract_x
_atom_site_fract_y
_atom_site_fract_z
Cs1 0.0000 0.0000 0.0000
Sr1 0.0000 0.0000 0.3372
Hg1 0.0000 0.5000 0.2500

***

Entry 4:
# SrLiBe2 (PBE, optimized geometry)
# ΔH_f (0 K) = 0.58 eV/atom
# DOS at the Fermi energy = 10.08 states/eV per cell
# offset from the most stable computed form = 0.288 eV/atom
data_SrLiBe2
_space_group_name_H-M_alt 'I -4 m 2'
_space_group_IT_number 119
_space_group_name_Hall 'I -4 -2'
_cell_length_a 4.7684
_cell_length_b 4.7684
_cell_length_c 6.5731
_cell_angle_alpha 90.00
_cell_angle_beta 90.00
_cell_angle_gamma 90.00
loop_
_atom_site_label
_atom_site_fract_x
_atom_site_fract_y
_atom_site_fract_z
Sr1 0.0000 0.0000 0.0000
Li1 0.0000 0.5000 0.7500
Be1 0.0000 0.0000 0.5000
Be2 0.0000 0.5000 0.2500